Run P
# PmDy7Ho4, optimized geometry, DFT PBE
# DOS at the Fermi energy ... 16.08 states/eV/cell
data_PmDy7Ho4
_symmetry_space_group_name_H-M 'P 1'
_symmetry_Int_Tables_number 1
_symmetry_space_group_name_Hall 'P 1'
_cell_length_a 6.189
_cell_length_b 7.153
_cell_length_c 8.808
_cell_angle_alpha 89.99
_cell_angle_beta 76.26
_cell_angle_gamma 89.91
loop_
_atom_site_label
_atom_site_fract_x
_atom_site_fract_y
_atom_site_fract_z
Pm1 0.000 0.000 0.000
Dy1 0.000 0.500 0.000
Dy2 0.222 0.000 0.334
Dy3 0.279 0.749 0.665
Dy4 0.500 0.251 0.000
Dy5 0.500 0.749 0.000
Dy6 0.721 0.251 0.335
Dy7 0.778 0.000 0.666
Ho1 0.221 0.500 0.334
Ho2 0.279 0.251 0.665
Ho3 0.721 0.749 0.335
Ho4 0.779 0.500 0.666

Run Q
# PmDy7Ho4, optimized geometry, DFT PBE
# DOS at the Fermi energy ... 20.06 states/eV/cell
data_PmDy7Ho4
_symmetry_space_group_name_H-M 'P 1'
_symmetry_Int_Tables_number 1
_symmetry_space_group_name_Hall 'P 1'
_cell_length_a 6.682
_cell_length_b 6.682
_cell_length_c 12.606
_cell_angle_alpha 114.96
_cell_angle_beta 114.96
_cell_angle_gamma 51.97
loop_
_atom_site_label
_atom_site_fract_x
_atom_site_fract_y
_atom_site_fract_z
Pm1 0.000 0.000 0.000
Dy1 0.060 0.060 0.327
Dy2 0.211 0.211 0.922
Dy3 0.366 0.366 0.497
Dy4 0.500 0.500 0.000
Dy5 0.634 0.634 0.503
Dy6 0.789 0.789 0.078
Dy7 0.940 0.940 0.673
Ho1 0.248 0.248 0.683
Ho2 0.366 0.366 0.225
Ho3 0.634 0.634 0.775
Ho4 0.752 0.752 0.317

Q: Which of them is the most stable? A: run P.

Run P
# PmDyHo5, optimized geometry, DFT PBE
# DOS at the Fermi energy ... 19.77 states/eV/cell
data_PmDyHo5
_symmetry_space_group_name_H-M 'P 1'
_symmetry_Int_Tables_number 1
_symmetry_space_group_name_Hall 'P 1'
_cell_length_a 7.976
_cell_length_b 11.662
_cell_length_c 6.145
_cell_angle_alpha 90.00
_cell_angle_beta 90.00
_cell_angle_gamma 90.00
loop_
_atom_site_label
_atom_site_fract_x
_atom_site_fract_y
_atom_site_fract_z
Pm1 0.000 0.000 0.000
Pm2 0.500 0.500 0.500
Dy1 0.000 0.500 0.739
Dy2 0.500 0.000 0.239
Ho1 0.000 0.000 0.472
Ho2 0.000 0.244 0.734
Ho3 0.000 0.756 0.734
Ho4 0.179 0.500 0.237
Ho5 0.321 0.000 0.737
Ho6 0.500 0.256 0.234
Ho7 0.500 0.500 0.972
Ho8 0.500 0.744 0.234
Ho9 0.679 0.000 0.737
Ho10 0.821 0.500 0.237

Run Q
# PmDyHo5, optimized geometry, DFT PBE
# DOS at the Fermi energy ... 16.57 states/eV/cell
data_PmDyHo5
_symmetry_space_group_name_H-M 'P 1'
_symmetry_Int_Tables_number 1
_symmetry_space_group_name_Hall 'P 1'
_cell_length_a 6.730
_cell_length_b 6.730
_cell_length_c 12.144
_cell_angle_alpha 107.32
_cell_angle_beta 107.32
_cell_angle_gamma 60.11
loop_
_atom_site_label
_atom_site_fract_x
_atom_site_fract_y
_atom_site_fract_z
Pm1 0.028 0.972 0.750
Pm2 0.972 0.028 0.250
Dy1 0.000 0.500 0.000
Dy2 0.500 0.000 0.500
Ho1 0.145 0.416 0.752
Ho2 0.191 0.652 0.500
Ho3 0.348 0.809 0.000
Ho4 0.411 0.589 0.250
Ho5 0.416 0.145 0.252
Ho6 0.584 0.855 0.748
Ho7 0.589 0.411 0.750
Ho8 0.652 0.191 0.000
Ho9 0.809 0.348 0.500
Ho10 0.855 0.584 0.248

Q: Which of them is the most stable? A: run Q.